Record 1
First-principles (GGA-PBE) data for a relaxed structure of AcHgO3, as listed in OQMD.

a = 5.920 Å, b = 5.920 Å, c = 5.920 Å
α = 62.82°, β = 62.82°, γ = 62.82°
Element x y z (fractional)
Ac (0.250, 0.250, 0.250)
Ac (0.750, 0.750, 0.750)
Hg (0.000, 0.000, 0.000)
Hg (0.500, 0.500, 0.500)
O (0.147, 0.750, 0.353)
O (0.250, 0.647, 0.853)
O (0.353, 0.147, 0.750)
O (0.647, 0.853, 0.250)
O (0.750, 0.353, 0.147)
O (0.853, 0.250, 0.647)

Spin magnetization: 0.00 μB per cell
E: -5.48 eV/atom


Record 2
First-principles (GGA-PBE) data for a relaxed structure of AcHgO3, as listed in OQMD.

a = 6.680 Å, b = 8.231 Å, c = 5.817 Å
α = 90.00°, β = 90.00°, γ = 90.00°
Element x y z (fractional)
Ac (0.093, 0.250, 0.025)
Ac (0.407, 0.750, 0.525)
Ac (0.593, 0.250, 0.475)
Ac (0.907, 0.750, 0.975)
Hg (0.000, 0.000, 0.500)
Hg (0.000, 0.500, 0.500)
Hg (0.500, 0.000, 0.000)
Hg (0.500, 0.500, 0.000)
O (0.043, 0.750, 0.377)
O (0.162, 0.558, 0.802)
O (0.162, 0.942, 0.802)
O (0.338, 0.058, 0.302)
O (0.338, 0.442, 0.302)
O (0.457, 0.250, 0.877)
O (0.543, 0.750, 0.123)
O (0.662, 0.558, 0.698)
O (0.662, 0.942, 0.698)
O (0.838, 0.058, 0.198)
O (0.838, 0.442, 0.198)
O (0.957, 0.250, 0.623)

Spin magnetization: 0.00 μB per cell
E: -5.56 eV/atom


Record 3
First-principles (GGA-PBE) data for a relaxed structure of AcHgO3, as listed in OQMD.

a = 6.248 Å, b = 6.248 Å, c = 6.248 Å
α = 58.96°, β = 58.96°, γ = 58.96°
Element x y z (fractional)
Ac (0.129, 0.129, 0.129)
Ac (0.871, 0.871, 0.871)
Hg (0.356, 0.356, 0.356)
Hg (0.644, 0.644, 0.644)
O (0.047, 0.725, 0.477)
O (0.275, 0.523, 0.953)
O (0.477, 0.047, 0.725)
O (0.523, 0.953, 0.275)
O (0.725, 0.477, 0.047)
O (0.953, 0.275, 0.523)

Spin magnetization: 2.00 μB per cell
E: -5.38 eV/atom


Record 4
First-principles (GGA-PBE) data for a relaxed structure of AcHgO3, as listed in OQMD.

a = 4.229 Å, b = 4.229 Å, c = 4.570 Å
α = 90.00°, β = 90.00°, γ = 90.00°
Element x y z (fractional)
Ac (0.000, 0.000, 0.000)
Hg (0.500, 0.500, 0.585)
O (0.000, 0.500, 0.672)
O (0.500, 0.000, 0.672)
O (0.500, 0.500, 0.099)

Spin magnetization: 0.00 μB per cell
E: -5.34 eV/atom


Record 5
First-principles (GGA-PBE) data for a relaxed structure of AcHgOs, as listed in OQMD.

a = 4.877 Å, b = 4.877 Å, c = 4.877 Å
α = 60.00°, β = 60.00°, γ = 60.00°
Element x y z (fractional)
Ac (0.000, 0.000, 0.000)
Hg (0.500, 0.500, 0.500)
Os (0.250, 0.250, 0.250)

Spin magnetization: 0.22 μB per cell
E above lowest polymorph: 0 meV/atom
Calculated formation energy: 0.40 eV/atom
E: -4.81 eV/atom


Record 6
First-principles (GGA-PBE) data for a relaxed structure of AcPaHg, as listed in OQMD.

a = 5.302 Å, b = 5.302 Å, c = 5.302 Å
α = 60.00°, β = 60.00°, γ = 60.00°
Element x y z (fractional)
Ac (0.000, 0.000, 0.000)
Pa (0.500, 0.500, 0.500)
Hg (0.250, 0.250, 0.250)

Spin magnetization: 2.44 μB per cell
Calculated formation energy: 0.51 eV/atom
E: -4.13 eV/atom


Record 7
First-principles (GGA-PBE) data for a relaxed structure of Ac5HgPb3, as listed in OQMD.

a = 10.226 Å, b = 10.226 Å, c = 7.324 Å
α = 90.00°, β = 90.00°, γ = 120.00°
Element x y z (fractional)
Ac (0.000, 0.276, 0.250)
Ac (0.000, 0.724, 0.750)
Ac (0.276, 0.000, 0.250)
Ac (0.276, 0.276, 0.750)
Ac (0.333, 0.667, 0.000)
Ac (0.333, 0.667, 0.500)
Ac (0.667, 0.333, 0.000)
Ac (0.667, 0.333, 0.500)
Ac (0.724, 0.000, 0.750)
Ac (0.724, 0.724, 0.250)
Hg (0.000, 0.000, 0.000)
Hg (0.000, 0.000, 0.500)
Pb (0.000, 0.378, 0.750)
Pb (0.000, 0.622, 0.250)
Pb (0.378, 0.000, 0.750)
Pb (0.378, 0.378, 0.250)
Pb (0.622, 0.000, 0.250)
Pb (0.622, 0.622, 0.750)

Spin magnetization: 2.24 μB per cell
E: -4.05 eV/atom


Record 8
First-principles (GGA-PBE) data for a relaxed structure of AcHgPb, as listed in OQMD.

a = 5.296 Å, b = 5.296 Å, c = 5.296 Å
α = 60.00°, β = 60.00°, γ = 60.00°
Element x y z (fractional)
Ac (0.000, 0.000, 0.000)
Hg (0.250, 0.250, 0.250)
Pb (0.500, 0.500, 0.500)

Spin magnetization: 0.00 μB per cell
E above lowest polymorph: 0 meV/atom
E: -3.10 eV/atom